# LiBe

Crystalline LiBe at its relaxed geometry (PBE-GGA, Alexandria).

```
LiBe
1.0
2.823 0.000 0.000
0.000 2.823 0.000
0.000 0.000 2.823
Li Be
1 1
Direct
0.000 0.000 0.000
0.500 0.500 0.500
```

Calculated values
The value obtained for the formation energy is 369.7 meV/atom. The calculation puts the density of states at the Fermi level at 1.33 states/eV per cell. For the excess energy over the best structure of this formula in the dataset, the calculation gives 240.4 meV/atom. The value obtained for the magnetization is 0.00 μB/atom.